# 1
Entry from the Alexandria database: Pu2CdNiO8 after structural relaxation (GGA+U).

## Properties
- uncorrected energy (eV/atom) = -7.42

Lattice parameters (Å, degrees): 6.668 6.668 6.668 125.17 125.17 81.25
Fractional positions:
Pu1 0.000 0.000 0.000
Pu2 0.750 0.250 0.500
Cd1 0.250 0.750 0.500
Ni1 0.500 0.500 0.000
O1 0.072 0.860 0.212
O2 0.139 0.390 0.749
O3 0.140 0.353 0.212
O4 0.140 0.928 0.788
O5 0.610 0.359 0.749
O6 0.610 0.861 0.251
O7 0.641 0.390 0.251
O8 0.647 0.860 0.788

***

# 2
Entry from the Alexandria database: PuCd2Ni2O6 after structural relaxation (GGA+U).

## Properties
- uncorrected energy (eV/atom) = -6.12

Lattice parameters (Å, degrees): 5.506 5.506 5.821 100.02 100.02 119.64
Fractional positions:
Pu1 0.000 0.000 0.000
Cd1 0.173 0.827 0.500
Cd2 0.827 0.173 0.500
Ni1 0.336 0.664 0.000
Ni2 0.664 0.336 0.000
O1 0.056 0.416 0.213
O2 0.259 0.259 0.787
O3 0.416 0.056 0.213
O4 0.584 0.944 0.787
O5 0.741 0.741 0.213
O6 0.944 0.584 0.787

***

# 3
Entry from the Alexandria database: Cd2NiRhO6 after structural relaxation (GGA+U).

## Properties
- uncorrected energy (eV/atom) = -4.90

Lattice parameters (Å, degrees): 5.418 5.517 9.444 90.00 124.98 90.00
Fractional positions:
Cd1 0.237 0.051 0.248
Cd2 0.237 0.449 0.748
Cd3 0.763 0.551 0.252
Cd4 0.763 0.949 0.752
Ni1 0.000 0.000 0.500
Ni2 0.000 0.500 0.000
Rh1 0.500 0.000 0.000
Rh2 0.500 0.500 0.500
O1 0.151 0.193 0.947
O2 0.151 0.307 0.447
O3 0.251 0.706 0.939
O4 0.251 0.794 0.439
O5 0.364 0.044 0.757
O6 0.364 0.456 0.257
O7 0.636 0.544 0.743
O8 0.636 0.956 0.243
O9 0.749 0.206 0.561
O10 0.749 0.294 0.061
O11 0.849 0.693 0.553
O12 0.849 0.807 0.053

***

# 4
Entry from the Alexandria database: Cd3Ni3RhO8 after structural relaxation (GGA+U).

## Properties
- uncorrected energy (eV/atom) = -4.76

Lattice parameters (Å, degrees): 6.466 6.466 6.466 57.37 57.37 57.37
Fractional positions:
Cd1 0.000 0.500 0.500
Cd2 0.500 0.000 0.500
Cd3 0.500 0.500 0.000
Ni1 0.000 0.000 0.500
Ni2 0.000 0.500 0.000
Ni3 0.500 0.000 0.000
Rh1 0.500 0.500 0.500
O1 0.236 0.236 0.236
O2 0.251 0.727 0.727
O3 0.273 0.273 0.749
O4 0.273 0.749 0.273
O5 0.727 0.251 0.727
O6 0.727 0.727 0.251
O7 0.749 0.273 0.273
O8 0.764 0.764 0.764

***

# 5
Entry from the Alexandria database: Cd2Ni2RuO6 after structural relaxation (GGA+U).

## Properties
- uncorrected energy (eV/atom) = -5.10

Lattice parameters (Å, degrees): 5.283 5.283 5.746 99.63 99.63 118.55
Fractional positions:
Cd1 0.173 0.827 0.000
Cd2 0.827 0.173 0.000
Ni1 0.338 0.662 0.500
Ni2 0.662 0.338 0.500
Ru1 0.000 0.000 0.500
O1 0.055 0.386 0.705
O2 0.244 0.244 0.294
O3 0.386 0.055 0.705
O4 0.614 0.945 0.295
O5 0.756 0.756 0.706
O6 0.945 0.614 0.295

***

# 6
Entry from the Alexandria database: CdNiS2O8 after structural relaxation (GGA+U).

## Properties
- uncorrected energy (eV/atom) = -5.56

Lattice parameters (Å, degrees): 5.147 5.147 6.505 90.00 90.00 120.00
Fractional positions:
Cd1 0.000 0.000 0.000
Ni1 0.000 0.000 0.500
S1 0.333 0.667 0.215
S2 0.667 0.333 0.785
O1 0.174 0.349 0.290
O2 0.174 0.826 0.290
O3 0.333 0.667 0.990
O4 0.349 0.174 0.710
O5 0.651 0.826 0.290
O6 0.667 0.333 0.010
O7 0.826 0.174 0.710
O8 0.826 0.651 0.710

***

# 7
Entry from the Alexandria database: CdNi2SbO6 after structural relaxation (GGA+U).

## Properties
- uncorrected energy (eV/atom) = -5.10

Lattice parameters (Å, degrees): 5.663 5.663 5.663 55.56 55.56 55.56
Fractional positions:
Cd1 0.000 0.000 0.000
Ni1 0.278 0.278 0.278
Ni2 0.788 0.788 0.788
Sb1 0.480 0.480 0.480
O1 0.076 0.642 0.433
O2 0.192 0.556 0.875
O3 0.433 0.076 0.642
O4 0.556 0.875 0.192
O5 0.642 0.433 0.076
O6 0.875 0.192 0.556

***

# 8
Entry from the Alexandria database: Sc4CdNiO8 after structural relaxation (GGA+U).

## Properties
- uncorrected energy (eV/atom) = -7.68

Lattice parameters (Å, degrees): 6.254 6.254 6.254 61.20 61.20 61.20
Fractional positions:
Sc1 0.000 0.000 0.000
Sc2 0.379 0.379 0.872
Sc3 0.379 0.872 0.379
Sc4 0.872 0.379 0.379
Cd1 0.756 0.756 0.756
Ni1 0.377 0.377 0.377
O1 0.131 0.131 0.607
O2 0.131 0.607 0.131
O3 0.134 0.134 0.134
O4 0.175 0.612 0.612
O5 0.607 0.131 0.131
O6 0.612 0.175 0.612
O7 0.612 0.612 0.175
O8 0.612 0.612 0.612

***

# 9
Entry from the Alexandria database: CdNiSe2O8 after structural relaxation (GGA+U).

## Properties
- uncorrected energy (eV/atom) = -4.76

Lattice parameters (Å, degrees): 5.962 5.962 5.962 105.21 105.21 118.37
Fractional positions:
Cd1 0.000 0.000 0.000
Ni1 0.750 0.250 0.500
Se1 0.250 0.750 0.500
Se2 0.500 0.500 0.000
O1 0.069 0.394 0.325
O2 0.069 0.744 0.675
O3 0.147 0.328 0.818
O4 0.256 0.931 0.325
O5 0.510 0.328 0.182
O6 0.606 0.931 0.675
O7 0.672 0.490 0.818
O8 0.672 0.853 0.182

***

# 10
Entry from the Alexandria database: Cd3Ni3SnO8 after structural relaxation (GGA+U).

## Properties
- uncorrected energy (eV/atom) = -4.73

Lattice parameters (Å, degrees): 6.513 6.513 6.513 57.49 57.49 57.49
Fractional positions:
Cd1 0.000 0.500 0.500
Cd2 0.500 0.000 0.500
Cd3 0.500 0.500 0.000
Ni1 0.000 0.000 0.500
Ni2 0.000 0.500 0.000
Ni3 0.500 0.000 0.000
Sn1 0.500 0.500 0.500
O1 0.238 0.238 0.238
O2 0.247 0.732 0.732
O3 0.268 0.268 0.753
O4 0.268 0.753 0.268
O5 0.732 0.247 0.732
O6 0.732 0.732 0.247
O7 0.753 0.268 0.268
O8 0.762 0.762 0.762

***

# 11
Entry from the Alexandria database: SrCd2NiO4 after structural relaxation (GGA+U).

## Properties
- uncorrected energy (eV/atom) = -4.58

Lattice parameters (Å, degrees): 5.492 5.492 5.492 118.12 116.21 94.99
Fractional positions:
Sr1 0.000 0.000 0.000
Cd1 0.255 0.755 0.500
Cd2 0.745 0.245 0.500
Ni1 0.500 0.500 0.000
O1 0.154 0.589 0.993
O2 0.404 0.411 0.565
O3 0.596 0.161 0.007
O4 0.846 0.839 0.435

***

# 12
Entry from the Alexandria database: CdTc2NiO8 after structural relaxation (GGA+U).

## Properties
- uncorrected energy (eV/atom) = -6.40

Lattice parameters (Å, degrees): 6.060 6.060 6.060 109.49 109.49 109.44
Fractional positions:
Cd1 0.000 0.000 0.000
Tc1 0.250 0.750 0.500
Tc2 0.500 0.500 0.000
Ni1 0.750 0.250 0.500
O1 0.098 0.397 0.299
O2 0.098 0.799 0.701
O3 0.145 0.350 0.796
O4 0.201 0.902 0.299
O5 0.554 0.350 0.204
O6 0.603 0.902 0.701
O7 0.650 0.446 0.796
O8 0.650 0.855 0.204

***

# 13
Entry from the Alexandria database: Cd2TcNi2O6 after structural relaxation (GGA+U).

## Properties
- uncorrected energy (eV/atom) = -5.33

Lattice parameters (Å, degrees): 5.312 5.312 5.740 99.78 99.78 118.61
Fractional positions:
Cd1 0.174 0.826 0.000
Cd2 0.826 0.174 0.000
Tc1 0.000 0.000 0.500
Ni1 0.337 0.663 0.500
Ni2 0.663 0.337 0.500
O1 0.055 0.390 0.707
O2 0.244 0.244 0.294
O3 0.390 0.055 0.707
O4 0.610 0.945 0.293
O5 0.756 0.756 0.706
O6 0.945 0.610 0.293

***

# 14
Entry from the Alexandria database: CdNi2TeO6 after structural relaxation (GGA+U).

## Properties
- uncorrected energy (eV/atom) = -4.98

Lattice parameters (Å, degrees): 5.692 5.692 5.692 55.64 55.64 55.64
Fractional positions:
Cd1 0.000 0.000 0.000
Ni1 0.278 0.278 0.278
Ni2 0.789 0.789 0.789
Te1 0.479 0.479 0.479
O1 0.090 0.653 0.424
O2 0.215 0.558 0.861
O3 0.424 0.090 0.653
O4 0.558 0.861 0.215
O5 0.653 0.424 0.090
O6 0.861 0.215 0.558

***

# 15
Entry from the Alexandria database: CdNiTe2O8 after structural relaxation (GGA+U).

## Properties
- uncorrected energy (eV/atom) = -4.74

Lattice parameters (Å, degrees): 6.071 6.071 6.071 107.47 107.47 113.56
Fractional positions:
Cd1 0.000 0.000 0.000
Ni1 0.250 0.750 0.500
Te1 0.500 0.500 0.000
Te2 0.750 0.250 0.500
O1 0.321 0.123 0.802
O2 0.321 0.519 0.198
O3 0.373 0.062 0.311
O4 0.481 0.679 0.802
O5 0.751 0.062 0.689
O6 0.877 0.679 0.198
O7 0.938 0.249 0.311
O8 0.938 0.627 0.689

***

# 16
Entry from the Alexandria database: CdNiTeO6 after structural relaxation (GGA+U).

## Properties
- uncorrected energy (eV/atom) = -4.77

Lattice parameters (Å, degrees): 4.844 4.844 9.550 90.00 90.00 90.00
Fractional positions:
Cd1 0.000 0.000 0.000
Cd2 0.500 0.500 0.500
Ni1 0.000 0.000 0.333
Ni2 0.500 0.500 0.833
Te1 0.000 0.000 0.663
Te2 0.500 0.500 0.163
O1 0.176 0.176 0.503
O2 0.198 0.198 0.808
O3 0.214 0.214 0.179
O4 0.286 0.714 0.679
O5 0.302 0.698 0.308
O6 0.324 0.676 0.003
O7 0.676 0.324 0.003
O8 0.698 0.302 0.308
O9 0.714 0.286 0.679
O10 0.786 0.786 0.179
O11 0.802 0.802 0.808
O12 0.824 0.824 0.503

***

# 17
Entry from the Alexandria database: Ti2CdNiO after structural relaxation (GGA+U).

## Properties
- uncorrected energy (eV/atom) = -5.43

Lattice parameters (Å, degrees): 4.099 4.099 4.104 90.00 90.00 90.00
Fractional positions:
Ti1 0.000 0.500 0.000
Ti2 0.500 0.000 0.000
Cd1 0.000 0.000 0.500
Ni1 0.500 0.500 0.500
O1 0.500 0.500 0.000

***

# 18
Entry from the Alexandria database: UCdNi2O6 after structural relaxation (GGA+U).

## Properties
- uncorrected energy (eV/atom) = -6.00

Lattice parameters (Å, degrees): 6.047 6.047 4.297 90.00 90.00 90.00
Fractional positions:
U1 0.000 0.000 0.000
Cd1 0.500 0.500 0.880
Ni1 0.000 0.500 0.122
Ni2 0.500 0.000 0.122
O1 0.000 0.000 0.509
O2 0.239 0.239 0.030
O3 0.239 0.761 0.030
O4 0.500 0.500 0.399
O5 0.761 0.239 0.030
O6 0.761 0.761 0.030

***

# 19
Entry from the Alexandria database: UCd2Ni2O6 after structural relaxation (GGA+U).

## Properties
- uncorrected energy (eV/atom) = -5.90

Lattice parameters (Å, degrees): 5.526 5.526 6.096 104.19 104.19 112.12
Fractional positions:
U1 0.000 0.000 0.000
Cd1 0.180 0.820 0.500
Cd2 0.820 0.180 0.500
Ni1 0.339 0.661 0.000
Ni2 0.661 0.339 0.000
O1 0.019 0.372 0.240
O2 0.248 0.248 0.822
O3 0.372 0.019 0.240
O4 0.628 0.981 0.760
O5 0.752 0.752 0.178
O6 0.981 0.628 0.760

***

# 20
Entry from the Alexandria database: CdNi2WO6 after structural relaxation (GGA+U).

## Properties
- uncorrected energy (eV/atom) = -5.74

Lattice parameters (Å, degrees): 5.700 5.700 5.700 55.43 55.43 55.43
Fractional positions:
Cd1 0.000 0.000 0.000
Ni1 0.213 0.213 0.213
Ni2 0.716 0.716 0.716
W1 0.516 0.516 0.516
O1 0.138 0.446 0.777
O2 0.344 0.906 0.577
O3 0.446 0.777 0.138
O4 0.577 0.344 0.906
O5 0.777 0.138 0.446
O6 0.906 0.577 0.344